1.
# Ba8Na2Hg

An optimized crystal structure of Ba8Na2Hg (PBE, Alexandria via LeMat-Bulk).

a b c (Å): 6.5095 8.3991 11.3463
angles (deg): 97.02 106.67 90.00
Atoms (fractional coordinates):
Ba 0.4139 0.6079 0.8279
Ba 0.6559 0.9179 0.3117
Ba 0.7860 0.3708 0.5719
Ba 0.0256 0.7763 0.0513
Ba 0.2140 0.6292 0.4281
Ba 0.3441 0.0821 0.6883
Ba 0.5861 0.3921 0.1721
Ba 0.9744 0.2237 0.9487
Na 0.8367 0.8310 0.6735
Na 0.1633 0.1690 0.3265
Hg 0.5000 0.0000 0.0000

Properties
E above lowest polymorph: 0 meV/atom
calculated formation energy: -0.077 eV per atom



2.
# LiTcP

An optimized crystal structure of LiTcP (PBE, Alexandria via LeMat-Bulk).

a b c (Å): 6.3982 6.1727 2.8631
angles (deg): 81.27 72.47 26.25
Atoms (fractional coordinates):
Li 0.9943 0.9943 0.0057
P 0.3185 0.3185 0.6815
Tc 0.6872 0.6872 0.3128

Properties
E above lowest polymorph: 550 meV/atom
calculated formation energy: 0.013 eV per atom



3.
# La3Dy4In2

An optimized crystal structure of La3Dy4In2 (PBE, Alexandria via LeMat-Bulk).

a b c (Å): 6.4928 9.4907 9.4907
angles (deg): 91.38 86.34 86.34
Atoms (fractional coordinates):
La 0.9118 0.0360 0.1776
La 0.5882 0.8224 0.9640
La 0.0882 0.9640 0.8224
La 0.4118 0.1776 0.0360
La 0.2500 0.5356 0.4644
La 0.7500 0.4644 0.5356
Dy 0.4180 0.8916 0.3286
Dy 0.0820 0.6714 0.1084
Dy 0.5820 0.1084 0.6714
Dy 0.9180 0.3286 0.8916
Dy 0.0891 0.1749 0.5172
Dy 0.4109 0.4828 0.8251
Dy 0.9109 0.8251 0.4828
Dy 0.5891 0.5172 0.1749
In 0.5372 0.2201 0.3624
In 0.9628 0.6376 0.7799
In 0.4628 0.7799 0.6376
In 0.0372 0.3624 0.2201

Properties
calculated formation energy: -0.113 eV per atom



4.
# PmFeH4

An optimized crystal structure of PmFeH4 (PBE, Alexandria via LeMat-Bulk).

a b c (Å): 5.1192 6.2439 5.1971
angles (deg): 106.33 95.90 130.44
Atoms (fractional coordinates):
Pm 0.3928 0.6428 0.2855
Pm 0.6072 0.3572 0.7145
Fe 0.2979 0.0479 0.0958
Fe 0.7021 0.9521 0.9042
H 0.9326 0.2439 0.8350
H 0.9316 0.8863 0.7646
H 0.4024 0.5912 0.8350
H 0.3331 0.8783 0.7646
H 0.6669 0.1217 0.2354
H 0.5976 0.4088 0.1650
H 0.0684 0.1137 0.2354
H 0.0674 0.7561 0.1650

Properties
E above lowest polymorph: 0 meV/atom



5.
# CdHS2

An optimized crystal structure of CdHS2 (PBE, Alexandria via LeMat-Bulk).

a b c (Å): 7.3664 7.3664 7.3664
angles (deg): 25.99 25.99 25.99
Atoms (fractional coordinates):
H 0.5000 0.5000 0.5000
S 0.8867 0.8867 0.8867
S 0.1133 0.1133 0.1133
Cd 0.0000 0.0000 0.0000

Properties
E above lowest polymorph: 769 meV/atom



6.
# LiCdAu2O

An optimized crystal structure of LiCdAu2O (PBE, Alexandria via LeMat-Bulk).

a b c (Å): 5.1266 5.2817 5.1266
angles (deg): 90.00 90.00 90.00
Atoms (fractional coordinates):
Li 0.0000 0.5000 0.0000
Au 0.0000 0.0000 0.5000
Au 0.5000 0.0000 0.0000
O 0.5000 0.5000 0.5000
Cd 0.0000 0.0000 0.0000



7.
# PaNiAs2

An optimized crystal structure of PaNiAs2 (PBE, Alexandria via LeMat-Bulk).

a b c (Å): 3.8169 4.3672 4.3672
angles (deg): 90.00 90.00 90.00
Atoms (fractional coordinates):
Ni 0.5000 0.5000 0.5000
As 0.0000 0.0000 0.5000
As 0.0000 0.5000 0.0000
Pa 0.5000 0.0000 0.0000

Properties
E above lowest polymorph: 245 meV/atom
calculated formation energy: -0.580 eV per atom



8.
# Zr2MoCl

An optimized crystal structure of Zr2MoCl (PBE, Alexandria via LeMat-Bulk).

a b c (Å): 3.3008 3.3008 7.6999
angles (deg): 90.00 90.00 90.00
Atoms (fractional coordinates):
Cl 0.5000 0.5000 0.2500
Mo 0.5000 0.5000 0.7500
Zr 0.0000 0.0000 0.9563
Zr 0.0000 0.0000 0.5437

Properties
E above lowest polymorph: 143 meV/atom



9.
# LiCdCl2

An optimized crystal structure of LiCdCl2 (PBE, Alexandria via LeMat-Bulk).

a b c (Å): 3.5922 3.5791 7.8025
angles (deg): 105.38 90.00 90.00
Atoms (fractional coordinates):
Cd 0.5000 0.7500 0.7500
Cl 0.0000 0.9047 0.0468
Cl 0.0000 0.5953 0.4532
Li 0.5000 0.2500 0.2500

Properties
E above lowest polymorph: 77 meV/atom



10.
# K2Ba2V

An optimized crystal structure of K2Ba2V (PBE, Alexandria via LeMat-Bulk).

a b c (Å): 4.8006 4.8006 12.3332
angles (deg): 78.78 78.78 90.00
Atoms (fractional coordinates):
K 0.7500 0.2500 0.5000
K 0.2500 0.7500 0.5000
Ba 0.4185 0.4185 0.1630
Ba 0.5815 0.5815 0.8370
V 0.0000 0.0000 0.0000

Properties
E above lowest polymorph: 57 meV/atom
calculated formation energy: 0.723 eV per atom



11.
# CaGd2Al

An optimized crystal structure of CaGd2Al (PBE, Alexandria via LeMat-Bulk).

a b c (Å): 3.5750 3.5750 9.6349
angles (deg): 90.00 90.00 90.00
Atoms (fractional coordinates):
Ca 0.5000 0.5000 0.5000
Gd 0.0000 0.0000 0.8077
Gd 0.0000 0.0000 0.1923
Al 0.5000 0.5000 0.0000

Properties
E above lowest polymorph: 0 meV/atom
calculated formation energy: -0.147 eV per atom



12.
# Pm2Dy5Al4

An optimized crystal structure of Pm2Dy5Al4 (PBE, Alexandria via LeMat-Bulk).

a b c (Å): 3.4272 8.0597 15.4237
angles (deg): 105.15 96.38 90.00
Atoms (fractional coordinates):
Pm 0.9071 0.9071 0.8143
Pm 0.0929 0.0929 0.1857
Dy 0.2006 0.4064 0.4013
Dy 0.7994 0.5936 0.5987
Dy 0.2006 0.9949 0.4013
Dy 0.5000 0.0000 0.0000
Dy 0.7994 0.0051 0.5987
Al 0.7106 0.7106 0.4212
Al 0.0000 0.3255 0.0000
Al 0.2894 0.2894 0.5788
Al 0.0000 0.6745 0.0000

Properties
calculated formation energy: 0.466 eV per atom



Here are the calculated total DFT energy (no corrections) numbers, same order: -1.743, -5.884, -4.410, -4.716, -2.394, -1.994, -6.724, -7.801, -2.614, -2.309, -8.623, -3.850 (eV/atom).
Here are the calculated theoretical density numbers, same order: 3.79, 4.93, 7.39, 6.09, 4.36, 6.33, 10.03, 6.21, 3.27, 2.45, 5.15, 4.92 (g cm⁻³).